Entry from Alexandria: Er12Cd3O5 after structural relaxation (PBE).

For the density, the calculation gives 8814 kg/m3. As for the spin magnetization: 0.00 μB/f.u. The uncorrected formation energy is -1.48 eV/atom.

Lattice parameters (Å, degrees): 15.4021 15.4021 15.4021 90.00 90.00 90.00
Space group Ia-3d (No. 230)
Asymmetric unit:
Er1 0.0416 0.0495 0.6473 (multiplicity 96)
Cd1 0.0000 0.2500 0.1250 (multiplicity 24)
O1 0.0000 0.0000 0.0000 (multiplicity 16)
O2 0.0000 0.2500 0.3750 (multiplicity 24)

Entry from Alexandria: K21Rb2Na6 after structural relaxation (PBE).

For the density, the calculation gives 945 kg/m3. The formation energy comes out at 31 meV/atom. As for the spin magnetization: 0.00 μB/f.u.

Lattice parameters (Å, degrees): 19.9527 19.9527 19.9527 90.00 90.00 90.00
Space group Fm-3m (No. 225)
Asymmetric unit:
K1 0.0000 0.0000 0.0000 (multiplicity 4)
K2 0.0000 0.1721 0.1721 (multiplicity 48)
K3 0.1180 0.1180 0.3820 (multiplicity 32)
Rb1 0.2500 0.2500 0.2500 (multiplicity 8)
Na1 0.0000 0.0000 0.2675 (multiplicity 24)

Entry from Alexandria: CuPPt2 after structural relaxation (PBE).

For the density, the calculation gives 13903 kg/m3. The energy above the most stable polymorph in this dataset is 93 meV/atom. The formation energy comes out at -91 meV/atom. As for the spin magnetization: 0.00 μB/f.u.

Lattice parameters (Å, degrees): 8.0558 3.0026 4.8886 90.00 101.73 90.00
Space group C2/m (No. 12)
Asymmetric unit:
Cu1 0.0000 0.0000 0.0000 (multiplicity 2)
P1 0.0000 0.5000 0.5000 (multiplicity 2)
Pt1 0.2453 0.0000 0.7408 (multiplicity 4)

Entry from Alexandria: KZr2BePb after structural relaxation (PBE).

For the density, the calculation gives 4849 kg/m3. The formation energy comes out at 1205 meV/atom. As for the spin magnetization: 0.82 μB/f.u.

Lattice parameters (Å, degrees): 5.6752 5.6752 4.6543 90.00 90.00 90.00
Space group P4/mmm (No. 123)
Asymmetric unit:
K1 0.0000 0.0000 0.0000 (multiplicity 1)
Zr1 0.0000 0.5000 0.5000 (multiplicity 2)
Be1 0.5000 0.5000 0.0000 (multiplicity 1)
Pb1 0.5000 0.5000 0.5000 (multiplicity 1)

Entry from Alexandria: NiAsIr3 after structural relaxation (PBE).

For the density, the calculation gives 12677 kg/m3. The energy above the most stable polymorph in this dataset is 0 meV/atom. The formation energy comes out at 1342 meV/atom. As for the spin magnetization: 1.83 μB/f.u.

Lattice parameters (Å, degrees): 4.5312 4.5312 4.5312 90.00 90.00 90.00
Space group Pm-3m (No. 221)
Asymmetric unit:
Ni1 0.0000 0.0000 0.0000 (multiplicity 1)
As1 0.5000 0.5000 0.5000 (multiplicity 1)
Ir1 0.0000 0.5000 0.5000 (multiplicity 3)

Entry from Alexandria: DySnTe3Au after structural relaxation (PBE).

For the density, the calculation gives 7852 kg/m3. As for the spin magnetization: 0.00 μB/f.u. The uncorrected formation energy is -0.65 eV/atom.

Lattice parameters (Å, degrees): 8.6612 4.2880 10.1380 90.00 104.73 90.00
Space group P2_1/m (No. 11)
Asymmetric unit:
Dy1 0.1862 0.2500 0.1793 (multiplicity 2)
Sn1 0.2888 0.7500 0.7344 (multiplicity 2)
Te1 0.0794 0.2500 0.8575 (multiplicity 2)
Te2 0.2282 0.2500 0.4880 (multiplicity 2)
Te3 0.4257 0.7500 0.1369 (multiplicity 2)
Au1 0.4107 0.7500 0.4061 (multiplicity 2)

Entry from Alexandria: Ba3I2O9 after structural relaxation (PBE).

For the density, the calculation gives 5849 kg/m3. As for the spin magnetization: 0.00 μB/f.u. The uncorrected formation energy is -1.44 eV/atom.

Lattice parameters (Å, degrees): 10.3284 10.3284 14.9302 90.00 90.00 120.00
Space group R-3c (No. 167, hexagonal axes)
Asymmetric unit:
Ba1 0.0000 0.3324 0.2500 (multiplicity 18)
I1 0.0000 0.0000 0.1490 (multiplicity 12)
O1 0.0004 0.1620 0.0906 (multiplicity 36)
O2 0.0000 0.1640 0.7500 (multiplicity 18)

Entry from Alexandria: CuSiNi2 after structural relaxation (PBE).

For the density, the calculation gives 7550 kg/m3. As for the spin magnetization: 0.00 μB/f.u. The uncorrected formation energy is -0.18 eV/atom.

Lattice parameters (Å, degrees): 2.6209 2.6209 23.1856 90.00 90.00 120.00
Space group R-3m (No. 166, hexagonal axes)
Asymmetric unit:
Cu1 0.0000 0.0000 0.0000 (multiplicity 3)
Si1 0.0000 0.0000 0.5000 (multiplicity 3)
Ni1 0.0000 0.0000 0.2443 (multiplicity 6)

Entry from Alexandria: MnCd2Pb after structural relaxation (PBE).

For the density, the calculation gives 8829 kg/m3. The formation energy comes out at 283 meV/atom. As for the spin magnetization: 4.06 μB/f.u.

Lattice parameters (Å, degrees): 5.8594 9.0205 3.4657 90.00 90.00 90.00
Space group Cmmm (No. 65)
Asymmetric unit:
Mn1 0.0000 0.0000 0.0000 (multiplicity 2)
Cd1 0.2500 0.2500 0.5000 (multiplicity 4)
Pb1 0.0000 0.5000 0.0000 (multiplicity 2)

Entry from Alexandria: CsGe2Br6 after structural relaxation (PBE).

For the density, the calculation gives 3462 kg/m3. As for the spin magnetization: 0.02 μB/f.u. The uncorrected formation energy is -0.77 eV/atom.

Lattice parameters (Å, degrees): 7.1907 7.1907 8.1153 90.00 90.00 120.00
Space group P-31m (No. 162)
Asymmetric unit:
Cs1 0.0000 0.0000 0.0000 (multiplicity 1)
Ge1 0.3333 0.6667 0.5000 (multiplicity 2)
Br1 0.0000 0.3788 0.6961 (multiplicity 6)

Entry from Alexandria: SrHfCr3 after structural relaxation (PBE).

For the density, the calculation gives 6031 kg/m3. The energy above the most stable polymorph in this dataset is 971 meV/atom. The formation energy comes out at 2211 meV/atom. As for the spin magnetization: 10.14 μB/f.u.

Lattice parameters (Å, degrees): 4.8801 4.8801 4.8801 90.00 90.00 90.00
Space group Pm-3m (No. 221)
Asymmetric unit:
Sr1 0.0000 0.0000 0.0000 (multiplicity 1)
Hf1 0.5000 0.5000 0.5000 (multiplicity 1)
Cr1 0.0000 0.0000 0.5000 (multiplicity 3)

Entry from Alexandria: Pm2CuTe4 after structural relaxation (PBE).

For the density, the calculation gives 7061 kg/m3. As for the spin magnetization: 0.00 μB/f.u. The uncorrected formation energy is -1.03 eV/atom.

Lattice parameters (Å, degrees): 7.6796 6.2946 8.7711 90.00 106.60 90.00
Space group P2_1/m (No. 11)
Asymmetric unit:
Pm1 0.2232 0.2500 0.4318 (multiplicity 2)
Pm2 0.2492 0.2500 0.9362 (multiplicity 2)
Cu1 0.2216 0.7500 0.6797 (multiplicity 2)
Te1 0.0761 0.7500 0.3801 (multiplicity 2)
Te2 0.0794 0.7500 0.9079 (multiplicity 2)
Te3 0.4926 0.5040 0.2522 (multiplicity 4)